# 1
Computed, not measured: a relaxed structure of CsNa2Ge2 at the GGA-PBEsol level of DFT.

As for the total energy: -2.80 eV/atom. The formation energy comes out at -0.079 eV/atom. Its space group is I4/mmm, No. 139. For the total moment, the calculation gives 0.0 μB per formula unit.

a = 6.350 Å, b = 6.350 Å, c = 6.350 Å
α = 128.48°, β = 128.48°, γ = 75.84°
Element x y z (fractional)
Cs1 0.000 0.000 0.000
Na1 0.250 0.750 0.500
Na2 0.750 0.250 0.500
Ge1 0.385 0.385 0.000
Ge2 0.615 0.615 0.000



# 2
Computed, not measured: a relaxed structure of La2SiPt at the GGA-PBEsol level of DFT.

Its energy relative to the elements, uncorrected is -3.69 eV per formula unit. As for the total energy: -6.77 eV/atom. Its space group is Amm2, No. 38. For the total moment, the calculation gives 0.0 μB per formula unit.

a = 4.247 Å, b = 5.809 Å, c = 5.809 Å
α = 43.36°, β = 90.00°, γ = 90.00°
Element x y z (fractional)
La1 0.000 0.000 0.000
La2 0.500 0.287 0.287
Si1 0.000 0.708 0.708
Pt1 0.500 0.574 0.574



# 3
Computed, not measured: a relaxed structure of RbIn2Pt2 at the GGA-PBEsol level of DFT.

As for the total energy: -4.45 eV/atom. The formation energy comes out at -0.270 eV/atom. Its space group is I4/mmm, No. 139. For the total moment, the calculation gives 0.0 μB per formula unit.

a = 6.420 Å, b = 6.420 Å, c = 6.420 Å
α = 137.68°, β = 137.68°, γ = 61.39°
Element x y z (fractional)
Rb1 0.000 0.000 0.000
In1 0.250 0.750 0.500
In2 0.750 0.250 0.500
Pt1 0.381 0.381 0.000
Pt2 0.619 0.619 0.000



# 4
Computed, not measured: a relaxed structure of YBe2Pb at the GGA-PBEsol level of DFT.

As for the total energy: -4.59 eV/atom. The formation energy comes out at 0.117 eV/atom. Its space group is Imm2, No. 44. For the total moment, the calculation gives 0.0 μB per formula unit.

a = 5.919 Å, b = 5.919 Å, c = 5.919 Å
α = 142.35°, β = 141.74°, γ = 54.76°
Element x y z (fractional)
Y1 0.000 0.000 0.000
Be1 0.305 0.805 0.500
Be2 0.396 0.396 0.000
Pb1 0.736 0.236 0.500